# GGA-PBE ZrSbCl2, optimized geometry
# - M_tot (Bohr magnetons per cell) = 0.00
# - Fermi-level density of states (states/eV per cell) = 1.52
# - E_form (uncorrected) (meV per atom) = -1075
# - crystal system = monoclinic
# - relative energy among the computed polymorphs (eV per formula unit) = 0.00
# - raw total energy (eV/atom) = -5.17
data_ZrSbCl2
_space_group_name_H-M_alt 'P 1'
_space_group_IT_number 1
_cell_length_a 7.058
_cell_length_b 7.058
_cell_length_c 7.273
_cell_angle_alpha 120.18
_cell_angle_beta 120.18
_cell_angle_gamma 26.27
loop_
_space_group_symop_operation_xyz
'x,y,z'
loop_
_atom_site_label
_atom_site_fract_x
_atom_site_fract_y
_atom_site_fract_z
Zr1 0.000 0.000 0.000
Sb1 0.682 0.682 0.999
Cl1 0.357 0.357 0.718
Cl2 0.512 0.512 0.283

=====

# GGA-PBE Li2HoPt2, optimized geometry
# - M_tot (Bohr magnetons per cell) = 0.00
# - Fermi-level density of states (states/eV per cell) = 2.78
# - crystal system = trigonal
# - relative energy among the computed polymorphs (eV per formula unit) = 0.38
# - DFT formation energy (eV/f.u.) = -3.35
# - raw total energy (eV/atom) = -4.77
data_Li2HoPt2
_space_group_name_H-M_alt 'P 1'
_space_group_IT_number 1
_cell_length_a 4.703
_cell_length_b 4.703
_cell_length_c 5.206
_cell_angle_alpha 90.00
_cell_angle_beta 90.00
_cell_angle_gamma 120.00
loop_
_space_group_symop_operation_xyz
'x,y,z'
loop_
_atom_site_label
_atom_site_fract_x
_atom_site_fract_y
_atom_site_fract_z
Li1 0.333 0.667 0.134
Li2 0.667 0.333 0.866
Ho1 0.000 0.000 0.500
Pt1 0.333 0.667 0.643
Pt2 0.667 0.333 0.357

=====

# GGA-PBE LiB4C4, optimized geometry
# - M_tot (Bohr magnetons per cell) = 0.00
# - Fermi-level density of states (states/eV per cell) = 6.25
# - crystal system = monoclinic
# - relative energy among the computed polymorphs (eV per formula unit) = 1.35
# - DFT formation energy (eV/f.u.) = 2.15
# - raw total energy (eV/atom) = -7.04
data_LiB4C4
_space_group_name_H-M_alt 'P 1'
_space_group_IT_number 1
_cell_length_a 5.332
_cell_length_b 4.683
_cell_length_c 7.779
_cell_angle_alpha 90.00
_cell_angle_beta 109.70
_cell_angle_gamma 90.00
loop_
_space_group_symop_operation_xyz
'x,y,z'
loop_
_atom_site_label
_atom_site_fract_x
_atom_site_fract_y
_atom_site_fract_z
Li1 0.000 0.000 0.000
Li2 0.000 0.500 0.500
B1 0.120 0.143 0.738
B2 0.120 0.357 0.238
B3 0.382 0.645 0.763
B4 0.382 0.855 0.263
B5 0.618 0.145 0.737
B6 0.618 0.355 0.237
B7 0.880 0.643 0.762
B8 0.880 0.857 0.262
C1 0.130 0.683 0.260
C2 0.130 0.817 0.760
C3 0.369 0.180 0.237
C4 0.369 0.320 0.737
C5 0.631 0.680 0.263
C6 0.631 0.820 0.763
C7 0.870 0.183 0.240
C8 0.870 0.317 0.740